TaSbS2Cl: relaxed, GGA-PBE.

Output
Energy relative to the lowest polymorph listed for this composition (eV/f.u.): 5.618
Formation energy from raw total energies (meV per atom): 978
Uncorrected energy (eV per atom): -4.238

Cell lengths 5.1349, 5.1349, 4.9422 Å; angles 90.00, 90.00, 90.00 degrees
Site moments in Bohr magnetons follow the coordinates.
Element x y z (fractional)
Sb 0.0000 0.0000 0.0000  0.00
S 0.0000 0.5000 0.0000  -0.10
S 0.5000 0.0000 0.0000  -0.10
Ta 0.5000 0.5000 0.5000  2.22
Cl 0.0000 0.0000 0.5000  0.04